Record 1
Density functional theory data (GGA-PBE) for a geometry-optimized SmUTe2S structure.

Unit cell a=4.461 b=4.461 c=15.420 alpha=90.00 beta=90.00 gamma=90.00
Atoms (fractional coordinates):
Sm (0.250, 0.250, 0.101)
Sm (0.750, 0.750, 0.899)
U (0.250, 0.250, 0.602)
U (0.750, 0.750, 0.398)
Te (0.250, 0.250, 0.397)
Te (0.250, 0.250, 0.794)
Te (0.750, 0.750, 0.206)
Te (0.750, 0.750, 0.603)
S (0.250, 0.750, 0.000)
S (0.750, 0.250, 0.000)

formation energy without anion corrections = -1.090 eV per atom
volume = 30.69 Å³ per atom
VASP energy = -6.37 eV per atom



Record 2
Density functional theory data (GGA-PBE) for a geometry-optimized PmBrCl structure.

Unit cell a=3.647 b=7.363 c=7.845 alpha=101.00 beta=102.10 gamma=104.33
Atoms (fractional coordinates):
Pm (0.000, 0.000, 0.000)
Pm (0.249, 0.499, 0.000)
Br (0.248, 0.728, 0.742)
Br (0.552, 0.871, 0.258)
Cl (0.511, 0.215, 0.786)
Cl (0.762, 0.332, 0.214)

formation energy without anion corrections = -1.764 eV per atom
volume = 32.15 Å³ per atom
energy relative to the lowest polymorph listed for this composition = 89.4 meV/atom
VASP energy = -4.52 eV per atom



Record 3
Density functional theory data (GGA-PBE) for a geometry-optimized Ho2Hg2H structure.

Unit cell a=6.566 b=6.566 c=8.776 alpha=90.00 beta=90.00 gamma=145.76
Atoms (fractional coordinates):
Ho (0.044, 0.956, 0.500)
Ho (0.357, 0.643, 0.322)
Ho (0.643, 0.357, 0.822)
Ho (0.956, 0.044, 0.000)
Hg (0.266, 0.734, 0.017)
Hg (0.385, 0.615, 0.698)
Hg (0.615, 0.385, 0.198)
Hg (0.734, 0.266, 0.517)
H (0.063, 0.937, 0.781)
H (0.937, 0.063, 0.281)

volume = 21.29 Å³ per atom
VASP energy = -3.03 eV per atom



Record 4
Density functional theory data (GGA-PBE) for a geometry-optimized LiZrAs structure.

Unit cell a=5.248 b=5.248 c=9.605 alpha=90.00 beta=90.00 gamma=83.72
Atoms (fractional coordinates):
Li (0.118, 0.882, 0.787)
Li (0.382, 0.618, 0.287)
Li (0.618, 0.382, 0.713)
Li (0.882, 0.118, 0.213)
Zr (0.224, 0.224, 0.500)
Zr (0.276, 0.276, 0.000)
Zr (0.724, 0.724, 0.000)
Zr (0.776, 0.776, 0.500)
As (0.225, 0.775, 0.054)
As (0.275, 0.725, 0.554)
As (0.725, 0.275, 0.446)
As (0.775, 0.225, 0.946)

volume = 21.91 Å³ per atom
energy relative to the lowest polymorph listed for this composition = 421.0 meV/atom
energy of formation = -46 kJ/mol of atoms
VASP energy = -5.51 eV per atom



Record 5
Density functional theory data (GGA-PBE) for a geometry-optimized Ac2SmPaN5 structure.

Unit cell a=4.242 b=4.242 c=9.310 alpha=90.00 beta=90.00 gamma=90.00
Atoms (fractional coordinates):
Ac (0.000, 0.000, 0.227)
Ac (0.000, 0.000, 0.773)
Sm (0.500, 0.500, 0.500)
Pa (0.500, 0.500, 0.000)
N (0.000, 0.000, 0.500)
N (0.000, 0.500, 0.000)
N (0.500, 0.000, 0.000)
N (0.500, 0.500, 0.252)
N (0.500, 0.500, 0.748)

formation energy without anion corrections = -1.128 eV per atom
volume = 18.61 Å³ per atom
VASP energy = -8.25 eV per atom



Record 6
Density functional theory data (GGA-PBE) for a geometry-optimized Nd4AlCd structure.

Unit cell a=9.062 b=5.204 c=9.169 alpha=90.00 beta=109.70 gamma=90.00
Atoms (fractional coordinates):
Nd (0.121, 0.000, 0.364)
Nd (0.128, 0.500, 0.883)
Nd (0.372, 0.000, 0.117)
Nd (0.379, 0.500, 0.636)
Nd (0.621, 0.500, 0.364)
Nd (0.628, 0.000, 0.883)
Nd (0.872, 0.500, 0.117)
Nd (0.879, 0.000, 0.636)
Al (0.000, 0.000, 0.000)
Al (0.500, 0.500, 0.000)
Cd (0.000, 0.500, 0.500)
Cd (0.500, 0.000, 0.500)

volume = 33.92 Å³ per atom
energy relative to the lowest polymorph listed for this composition = 208.2 meV/atom
energy of formation = 2 kJ/mol of atoms
VASP energy = -3.93 eV per atom



Record 7
Density functional theory data (GGA-PBE) for a geometry-optimized Al2AgBr structure.

Unit cell a=3.654 b=5.307 c=4.430 alpha=90.00 beta=93.49 gamma=90.00
Atoms (fractional coordinates):
Al (0.224, 0.000, 0.259)
Al (0.776, 0.000, 0.741)
Ag (0.000, 0.500, 0.500)
Br (0.500, 0.500, 0.000)

formation energy without anion corrections = 0.223 eV per atom
volume = 21.44 Å³ per atom
energy relative to the lowest polymorph listed for this composition = 223.6 meV/atom
VASP energy = -2.78 eV per atom



Record 8
Density functional theory data (GGA-PBE) for a geometry-optimized K2CoBiCl structure.

Unit cell a=6.330 b=6.330 c=4.785 alpha=90.00 beta=90.00 gamma=90.00
Atoms (fractional coordinates):
K (0.000, 0.500, 0.000)
K (0.500, 0.000, 0.000)
Co (0.000, 0.000, 0.000)
Bi (0.000, 0.000, 0.500)
Cl (0.500, 0.500, 0.500)

formation energy without anion corrections = -0.240 eV per atom
volume = 38.34 Å³ per atom
VASP energy = -3.25 eV per atom



Record 9
Density functional theory data (GGA-PBE) for a geometry-optimized La8SbPt3I4 structure.

Unit cell a=9.505 b=9.505 c=9.505 alpha=55.53 beta=55.53 gamma=55.53
Atoms (fractional coordinates):
La (0.215, 0.743, 0.743)
La (0.229, 0.229, 0.229)
La (0.257, 0.257, 0.785)
La (0.257, 0.785, 0.257)
La (0.743, 0.215, 0.743)
La (0.743, 0.743, 0.215)
La (0.771, 0.771, 0.771)
La (0.785, 0.257, 0.257)
Sb (0.500, 0.500, 0.500)
Pt (0.000, 0.000, 0.500)
Pt (0.000, 0.500, 0.000)
Pt (0.500, 0.000, 0.000)
I (0.000, 0.000, 0.000)
I (0.000, 0.500, 0.500)
I (0.500, 0.000, 0.500)
I (0.500, 0.500, 0.000)

formation energy without anion corrections = -1.165 eV per atom
volume = 34.02 Å³ per atom
VASP energy = -5.41 eV per atom



Record 10
Density functional theory data (GGA-PBE) for a geometry-optimized ZrV2Ni structure.

Unit cell a=6.174 b=6.174 c=6.174 alpha=90.00 beta=90.00 gamma=90.00
Atoms (fractional coordinates):
Zr (0.000, 0.000, 0.000)
Zr (0.000, 0.500, 0.500)
Zr (0.500, 0.000, 0.500)
Zr (0.500, 0.500, 0.000)
V (0.250, 0.250, 0.250)
V (0.250, 0.250, 0.750)
V (0.250, 0.750, 0.250)
V (0.250, 0.750, 0.750)
V (0.750, 0.250, 0.250)
V (0.750, 0.250, 0.750)
V (0.750, 0.750, 0.250)
V (0.750, 0.750, 0.750)
Ni (0.000, 0.000, 0.500)
Ni (0.000, 0.500, 0.000)
Ni (0.500, 0.000, 0.000)
Ni (0.500, 0.500, 0.500)

volume = 14.71 Å³ per atom
energy relative to the lowest polymorph listed for this composition = 0.0 meV/atom
energy of formation = 18 kJ/mol of atoms
VASP energy = -7.96 eV per atom



Record 11
Density functional theory data (GGA-PBE) for a geometry-optimized Ca4YU3As8 structure.

Unit cell a=8.369 b=8.369 c=8.369 alpha=59.68 beta=59.68 gamma=59.68
Atoms (fractional coordinates):
Ca (0.000, 0.000, 0.000)
Ca (0.000, 0.500, 0.500)
Ca (0.500, 0.000, 0.500)
Ca (0.500, 0.500, 0.000)
Y (0.500, 0.500, 0.500)
U (0.000, 0.000, 0.500)
U (0.000, 0.500, 0.000)
U (0.500, 0.000, 0.000)
As (0.237, 0.747, 0.747)
As (0.244, 0.244, 0.244)
As (0.253, 0.253, 0.763)
As (0.253, 0.763, 0.253)
As (0.747, 0.237, 0.747)
As (0.747, 0.747, 0.237)
As (0.756, 0.756, 0.756)
As (0.763, 0.253, 0.253)

volume = 25.72 Å³ per atom
energy of formation = -103 kJ/mol of atoms
VASP energy = -6.41 eV per atom



Record 12
Density functional theory data (GGA-PBE) for a geometry-optimized Pm2PrHg6 structure.

Unit cell a=8.750 b=8.750 c=3.489 alpha=90.00 beta=90.00 gamma=120.00
Atoms (fractional coordinates):
Pm (0.333, 0.667, 0.000)
Pm (0.667, 0.333, 0.000)
Pr (0.000, 0.000, 0.000)
Hg (0.000, 0.334, 0.500)
Hg (0.000, 0.666, 0.500)
Hg (0.334, 0.000, 0.500)
Hg (0.334, 0.334, 0.500)
Hg (0.666, 0.000, 0.500)
Hg (0.666, 0.666, 0.500)

volume = 25.71 Å³ per atom
energy of formation = -42 kJ/mol of atoms
VASP energy = -2.22 eV per atom